# 1
A relaxed structure of Li2TlF5, computed with GGA-PBE.

Structure (extended XYZ):
```
16
Lattice="4.1411 0.0000 0.0000 -2.0705 5.1264 0.0000 0.0000 0.0000 10.6743" Properties=species:S:1:pos:R:3 pbc="T T T"
Li 2.0705 3.7328 4.7840
Li 2.0705 3.7328 0.5532
Li 0.0000 1.3936 5.8904
Li 0.0000 1.3936 10.1211
Tl 2.0705 3.1210 8.0057
Tl 0.0000 2.0054 2.6686
F 2.0705 4.6789 9.4780
F 2.0705 4.6789 6.5335
F 0.0000 3.1549 4.5475
F 0.0000 3.1549 0.7897
F 2.0705 2.8564 2.6686
F 0.0000 2.2700 8.0057
F 2.0705 1.9715 6.1268
F 2.0705 1.9715 9.8846
F 0.0000 0.4474 1.1963
F 0.0000 0.4474 4.1408
```

Output
Density ... 4.6 Mg/m³
DOS at the Fermi energy ... 0.0000 states/eV per atom
Formation energy (no corrections) ... -18.9 eV per formula unit
M_tot ... 0.00 μB/cell
Final energy ... -4.307 eV/atom
Space group ... Cmcm (63)

# 2
A relaxed structure of LiTmTl2F6, computed with GGA-PBE.

Structure (extended XYZ):
```
20
Lattice="-4.8319 3.1890 -1.9027 -2.2991 -0.1168 5.6428 4.1256 7.3454 1.8330" Properties=species:S:1:pos:R:3 pbc="T T T"
Li -0.3532 5.2672 -0.0348
Li -1.1495 -0.0584 2.8214
Tm -2.4159 1.5945 -0.9513
Tm 0.9132 3.6143 3.7379
Tl -3.8002 5.0254 -1.4443
Tl -0.4710 7.0452 3.2448
Tl 0.7948 5.3922 7.0173
Tl -2.5344 3.3723 2.3282
F -2.9317 0.7151 3.7526
F -3.2877 5.9822 3.7249
F -0.0737 9.7024 1.8204
F 0.2823 4.4354 1.8482
F -0.8732 4.3808 4.6675
F -1.2291 9.6478 4.6393
F -2.1322 6.0368 0.9056
F -1.7763 0.7697 0.9338
F -4.9451 4.9650 1.3791
F -1.6158 6.9848 6.0680
F 1.9397 5.4526 4.1939
F -1.3896 3.4328 -0.4949
```

Output
Density ... 7.2 Mg/m³
DOS at the Fermi energy ... 0.0000 states/eV per atom
Formation energy (no corrections) ... -29.6 eV per formula unit
M_tot ... 0.00 μB/cell
Final energy ... -5.194 eV/atom
Space group ... P2_1/c (14)

# 3
A relaxed structure of LiTmTlF6, computed with GGA-PBE.

Structure (extended XYZ):
```
18
Lattice="-0.9760 3.3284 -4.7825 -1.4940 -5.7158 -0.0240 -8.1154 2.1081 3.1233" Properties=species:S:1:pos:R:3 pbc="T T T"
Li 0.0000 0.0000 0.0000
Li -4.0577 1.0541 1.5616
Tm -3.3502 -2.1741 -0.8294
Tm -7.2352 1.8948 -0.8539
Tl -3.1775 0.8407 -2.4155
Tl -7.4079 -1.1200 0.7323
F -2.6609 -1.5163 -2.7714
F -1.5377 -1.5915 0.1978
F -5.4358 2.2493 0.2932
F -9.0476 1.3122 -1.8811
F -3.8856 -0.1461 -0.3003
F -4.1393 -3.0360 0.9909
F -7.8574 3.9465 -0.5666
F -5.1496 -2.5286 -1.9765
F -6.4460 2.7567 -2.6742
F -2.7279 -4.2258 -1.1167
F -6.6998 -0.1332 -1.3829
F -7.9244 1.2370 1.0882
```

Output
Density ... 6.1 Mg/m³
DOS at the Fermi energy ... 0.4337 states/eV per atom
Formation energy (no corrections) ... -26.4 eV per formula unit
M_tot ... 1.09 μB/cell
Final energy ... -5.157 eV/atom
Space group ... P-31c (163)

Question: The highest formation energy (no corrections) belongs to which entry?
Answer: Li2TlF5

Question: Which value of M_tot does entry 1 give?
Answer: 0.00 μB/cell